Record 1
Computed, not measured: crystalline Ba7Tl2Zn2 at its relaxed geometry at the PBE-GGA level of DFT.

```
Ba7Tl2Zn2
1.0
4.638 -6.558 0.000
4.638 6.558 0.000
0.000 0.000 8.375
Ba Tl Zn
7 2 2
direct
0.000 0.000 0.000
0.000 0.500 0.267
0.000 0.500 0.733
0.500 0.000 0.267
0.500 0.000 0.733
0.500 0.500 0.254
0.500 0.500 0.746
0.163 0.163 0.500
0.837 0.837 0.500
0.296 0.704 0.000
0.704 0.296 0.000
```

Values from the calculation:
- V (A^3/atom) = 46.321
- ΔE_f (eV per atom) = -0.10
- space-group type = Cmmm (65)



Record 2
Computed, not measured: crystalline BaTlZn2 at its relaxed geometry at the PBE-GGA level of DFT.

```
BaTlZn2
1.0
-2.621 2.621 9.601
2.621 -2.621 9.601
2.621 2.621 -9.601
Ba Tl Zn
2 2 4
direct
0.375 0.625 0.750
0.625 0.375 0.250
0.125 0.875 0.250
0.875 0.125 0.750
0.000 0.000 0.000
0.000 0.000 0.500
0.000 0.500 0.000
0.500 0.000 0.500
```

Values from the calculation:
- V (A^3/atom) = 32.971
- ΔE_f (eV per atom) = -0.05
- space-group type = I4_1/amd (141)



Record 3
Computed, not measured: crystalline BaTl3Zn3 at its relaxed geometry at the PBE-GGA level of DFT.

```
BaTl3Zn3
1.0
7.659 0.000 0.000
0.000 7.659 0.000
0.000 0.000 7.659
Ba Tl Zn
2 6 6
direct
0.000 0.000 0.000
0.500 0.500 0.500
0.000 0.250 0.500
0.000 0.750 0.500
0.250 0.500 0.000
0.500 0.000 0.250
0.500 0.000 0.750
0.750 0.500 0.000
0.000 0.500 0.250
0.000 0.500 0.750
0.250 0.000 0.500
0.500 0.250 0.000
0.500 0.750 0.000
0.750 0.000 0.500
```

Values from the calculation:
- V (A^3/atom) = 32.090
- ΔE_f (eV per atom) = 0.08
- space-group type = Pm-3n (223)



Record 4
Computed, not measured: crystalline BaTl2Zn2 at its relaxed geometry at the PBE-GGA level of DFT.

```
BaTl2Zn2
1.0
8.900 0.000 0.000
0.000 8.900 0.000
0.000 0.000 3.575
Ba Tl Zn
2 4 4
direct
0.000 0.000 0.000
0.500 0.500 0.000
0.131 0.369 0.000
0.369 0.869 0.000
0.631 0.131 0.000
0.869 0.631 0.000
0.160 0.660 0.500
0.340 0.160 0.500
0.660 0.840 0.500
0.840 0.340 0.500
```

Values from the calculation:
- V (A^3/atom) = 28.317
- ΔE_f (eV per atom) = 0.01
- space-group type = P4/mbm (127)
- ΔE to the lowest computed polymorph (eV per atom) = 0.234



Record 5
Computed, not measured: crystalline Ba2TlZn at its relaxed geometry at the PBE-GGA level of DFT.

```
Ba2TlZn
1.0
-4.623 4.623 3.957
4.623 -4.623 3.957
4.623 4.623 -3.957
Ba Tl Zn
4 2 2
direct
0.101 0.625 0.976
0.375 0.351 0.476
0.649 0.125 0.024
0.875 0.899 0.524
0.250 0.750 0.500
0.500 0.500 0.000
0.000 0.000 0.000
0.750 0.250 0.500
```

Values from the calculation:
- V (A^3/atom) = 42.280
- ΔE_f (eV per atom) = 0.00
- space-group type = I-42d (122)
- ΔE to the lowest computed polymorph (eV per atom) = 0.292



Record 6
Computed, not measured: crystalline Ba8Tl2Zn at its relaxed geometry at the PBE-GGA level of DFT.

```
Ba8Tl2Zn
1.0
10.690 -3.032 0.000
10.690 3.032 0.000
-2.513 0.000 7.910
Ba Tl Zn
8 2 1
direct
0.030 0.030 0.294
0.205 0.205 0.803
0.339 0.339 0.540
0.404 0.404 0.064
0.596 0.596 0.936
0.661 0.661 0.460
0.795 0.795 0.197
0.970 0.970 0.706
0.185 0.185 0.209
0.815 0.815 0.791
0.500 0.500 0.500
```

Values from the calculation:
- V (A^3/atom) = 46.615
- ΔE_f (eV per atom) = -0.19
- space-group type = C2/m (12)



Record 7
Computed, not measured: crystalline Ba8TlZn2 at its relaxed geometry at the PBE-GGA level of DFT.

```
Ba8TlZn2
1.0
10.574 -3.018 0.000
10.574 3.018 0.000
-2.617 0.000 7.996
Ba Tl Zn
8 1 2
direct
0.037 0.037 0.297
0.201 0.201 0.821
0.327 0.327 0.528
0.405 0.405 0.049
0.595 0.595 0.951
0.673 0.673 0.472
0.799 0.799 0.179
0.963 0.963 0.703
0.500 0.500 0.500
0.186 0.186 0.207
0.814 0.814 0.793
```

Values from the calculation:
- V (A^3/atom) = 46.390
- ΔE_f (eV per atom) = -0.11
- space-group type = C2/m (12)
- ΔE to the lowest computed polymorph (eV per atom) = 0.000



Record 8
Computed, not measured: crystalline Ba4TlZn at its relaxed geometry at the PBE-GGA level of DFT.

```
Ba4TlZn
1.0
5.900 0.000 0.000
0.000 5.900 0.000
0.000 0.000 8.442
Ba Tl Zn
4 1 1
direct
0.000 0.500 0.249
0.000 0.500 0.751
0.500 0.000 0.249
0.500 0.000 0.751
0.000 0.000 0.500
0.500 0.500 0.000
```

Values from the calculation:
- V (A^3/atom) = 48.981
- ΔE_f (eV per atom) = -0.11
- space-group type = P4/mmm (123)
- ΔE to the lowest computed polymorph (eV per atom) = 0.113



Record 9
Computed, not measured: crystalline Ba3TlZn at its relaxed geometry at the PBE-GGA level of DFT.

```
Ba3TlZn
1.0
3.014 -11.720 0.000
3.014 11.720 0.000
0.000 0.000 6.023
Ba Tl Zn
6 2 2
direct
0.077 0.923 0.750
0.249 0.751 0.750
0.422 0.578 0.750
0.578 0.422 0.250
0.751 0.249 0.250
0.923 0.077 0.250
0.159 0.841 0.250
0.841 0.159 0.750
0.341 0.659 0.250
0.659 0.341 0.750
```

Values from the calculation:
- V (A^3/atom) = 42.549
- ΔE_f (eV per atom) = -0.25
- space-group type = Cmcm (63)
- ΔE to the lowest computed polymorph (eV per atom) = 0.000



Record 10
Computed, not measured: crystalline Ba6Tl3Zn at its relaxed geometry at the PBE-GGA level of DFT.

```
Ba6Tl3Zn
1.0
10.542 0.000 0.000
0.000 6.049 0.000
-4.962 0.000 13.017
Ba Tl Zn
12 6 2
direct
0.019 0.250 0.412
0.163 0.750 0.163
0.255 0.250 0.997
0.346 0.750 0.831
0.372 0.250 0.358
0.382 0.250 0.643
0.618 0.750 0.357
0.628 0.750 0.642
0.654 0.250 0.169
0.745 0.750 0.003
0.837 0.250 0.837
0.981 0.750 0.588
0.023 0.750 0.867
0.091 0.250 0.721
0.268 0.750 0.471
0.732 0.250 0.529
0.909 0.750 0.279
0.977 0.250 0.133
0.458 0.750 0.097
0.542 0.250 0.903
```

Values from the calculation:
- V (A^3/atom) = 41.504
- ΔE_f (eV per atom) = -0.27
- space-group type = P2_1/m (11)
- ΔE to the lowest computed polymorph (eV per atom) = 0.000



Record 11
Computed, not measured: crystalline Ba3TlZn at its relaxed geometry at the PBE-GGA level of DFT.

```
Ba3TlZn
1.0
9.470 -2.293 0.000
9.470 2.293 0.000
-0.582 0.000 10.275
Ba Tl Zn
6 2 2
direct
0.000 0.000 0.000
0.155 0.155 0.371
0.369 0.369 0.258
0.524 0.524 0.628
0.710 0.710 0.995
0.813 0.813 0.635
0.167 0.167 0.734
0.356 0.356 0.896
0.539 0.539 0.259
0.985 0.985 0.369
```

Values from the calculation:
- V (A^3/atom) = 44.618
- ΔE_f (eV per atom) = -0.21
- space-group type = Cm (8)
- ΔE to the lowest computed polymorph (eV per atom) = 0.049



Record 12
Computed, not measured: crystalline BaTl4Zn at its relaxed geometry at the PBE-GGA level of DFT.

```
BaTl4Zn
1.0
0.000 4.617 4.617
4.617 0.000 4.617
4.617 4.617 0.000
Ba Tl Zn
1 4 1
direct
0.000 0.000 0.000
0.127 0.624 0.624
0.624 0.127 0.624
0.624 0.624 0.127
0.624 0.624 0.624
0.250 0.250 0.250
```

Values from the calculation:
- V (A^3/atom) = 32.814
- ΔE_f (eV per atom) = -0.02
- space-group type = F-43m (216)
- ΔE to the lowest computed polymorph (eV per atom) = 0.175



Record 13
Computed, not measured: crystalline Ba6TlZn5 at its relaxed geometry at the PBE-GGA level of DFT.

```
Ba6TlZn5
1.0
-2.927 4.154 8.787
2.927 -4.154 8.787
2.927 4.154 -8.787
Ba Tl Zn
6 1 5
direct
0.077 0.331 0.747
0.243 0.000 0.243
0.416 0.669 0.747
0.584 0.331 0.253
0.757 0.000 0.757
0.923 0.669 0.253
0.500 0.500 0.000
0.000 0.500 0.500
0.166 0.166 0.000
0.337 0.837 0.500
0.663 0.163 0.500
0.834 0.834 0.000
```

Values from the calculation:
- V (A^3/atom) = 35.617
- ΔE_f (eV per atom) = -0.20
- space-group type = Immm (71)



Record 14
Computed, not measured: crystalline Ba2Tl2Zn at its relaxed geometry at the PBE-GGA level of DFT.

```
Ba2Tl2Zn
1.0
-3.437 3.437 4.400
3.437 -3.437 4.400
3.437 3.437 -4.400
Ba Tl Zn
2 2 1
direct
0.250 0.750 0.500
0.750 0.250 0.500
0.165 0.165 0.000
0.835 0.835 0.000
0.500 0.500 0.000
```

Values from the calculation:
- V (A^3/atom) = 41.575
- ΔE_f (eV per atom) = -0.06
- space-group type = I4/mmm (139)
- ΔE to the lowest computed polymorph (eV per atom) = 0.249



Record 15
Computed, not measured: crystalline Ba2TlZn2 at its relaxed geometry at the PBE-GGA level of DFT.

```
Ba2TlZn2
1.0
5.553 -3.264 0.000
5.553 3.264 0.000
-2.322 0.000 8.947
Ba Tl Zn
4 2 4
direct
0.003 0.704 0.854
0.296 0.997 0.646
0.704 0.003 0.354
0.997 0.296 0.146
0.357 0.643 0.250
0.643 0.357 0.750
0.210 0.498 0.507
0.498 0.210 0.007
0.502 0.790 0.993
0.790 0.502 0.493
```

Values from the calculation:
- V (A^3/atom) = 32.432
- ΔE_f (eV per atom) = -0.23
- space-group type = C2/c (15)
- ΔE to the lowest computed polymorph (eV per atom) = 0.000



Record 16
Computed, not measured: crystalline Ba2TlZn2 at its relaxed geometry at the PBE-GGA level of DFT.

```
Ba2TlZn2
1.0
-3.257 3.257 4.254
3.257 -3.257 4.254
3.257 3.257 -4.254
Ba Tl Zn
2 1 2
direct
0.250 0.750 0.500
0.750 0.250 0.500
0.000 0.000 0.000
0.357 0.357 0.000
0.643 0.643 0.000
```

Values from the calculation:
- V (A^3/atom) = 36.094
- ΔE_f (eV per atom) = -0.11
- space-group type = I4/mmm (139)
- ΔE to the lowest computed polymorph (eV per atom) = 0.121



Record 17
Computed, not measured: crystalline BaTl3Zn at its relaxed geometry at the PBE-GGA level of DFT.

```
BaTl3Zn
1.0
6.654 0.000 0.000
0.000 6.654 0.000
0.000 0.000 6.654
Ba Tl Zn
1 3 1
direct
0.000 0.000 0.000
0.000 0.000 0.500
0.000 0.500 0.000
0.500 0.000 0.000
0.500 0.500 0.500
```

Values from the calculation:
- V (A^3/atom) = 58.925
- ΔE_f (eV per atom) = 0.74
- space-group type = Pm-3m (221)
- ΔE to the lowest computed polymorph (eV per atom) = 0.983



Record 18
Computed, not measured: crystalline Ba4TlZn at its relaxed geometry at the PBE-GGA level of DFT.

```
Ba4TlZn
1.0
0.000 5.208 5.208
5.208 0.000 5.208
5.208 5.208 0.000
Ba Tl Zn
4 1 1
direct
0.125 0.125 0.125
0.125 0.125 0.626
0.125 0.626 0.125
0.626 0.125 0.125
0.750 0.750 0.750
0.500 0.500 0.500
```

Values from the calculation:
- V (A^3/atom) = 47.095
- ΔE_f (eV per atom) = 0.39
- space-group type = F-43m (216)
- ΔE to the lowest computed polymorph (eV per atom) = 0.611



Record 19
Computed, not measured: crystalline Ba2TlZn2 at its relaxed geometry at the PBE-GGA level of DFT.

```
Ba2TlZn2
1.0
9.475 0.000 0.000
0.000 9.475 0.000
0.000 0.000 4.025
Ba Tl Zn
4 2 4
direct
0.157 0.343 0.000
0.343 0.843 0.000
0.657 0.157 0.000
0.843 0.657 0.000
0.000 0.000 0.000
0.500 0.500 0.000
0.134 0.634 0.500
0.366 0.134 0.500
0.634 0.866 0.500
0.866 0.366 0.500
```

Values from the calculation:
- V (A^3/atom) = 36.134
- ΔE_f (eV per atom) = -0.02
- space-group type = P4/mbm (127)
- ΔE to the lowest computed polymorph (eV per atom) = 0.210



Record 20
Computed, not measured: crystalline Ba2TlZn at its relaxed geometry at the PBE-GGA level of DFT.

```
Ba2TlZn
1.0
-2.584 2.584 5.362
2.584 -2.584 5.362
2.584 2.584 -5.362
Ba Tl Zn
2 1 1
direct
0.000 0.000 0.000
0.750 0.250 0.500
0.250 0.750 0.500
0.500 0.500 0.000
```

Values from the calculation:
- V (A^3/atom) = 35.797
- ΔE_f (eV per atom) = -0.12
- space-group type = I-4m2 (119)
- ΔE to the lowest computed polymorph (eV per atom) = 0.172